# Ba2BeCoO4

A relaxed Ba2BeCoO4 crystal (GGA+U, the Alexandria database).

Results
Space-group type: No. 70
Spin magnetization in Bohr magnetons per cell: 6.03
Uncorrected energy in eV per atom: -6.1084
V in A^3/atom: 15.66
D(E_F) in states/eV per atom: 0.000

Lattice parameters (Å, degrees): 4.6024 5.9387 10.2069 84.99 76.97 67.20
Positions (direct):
Ba1 0.5733 0.5000 0.8533
Ba2 0.1767 0.0000 0.6467
Ba3 0.8233 0.0000 0.3533
Ba4 0.9267 0.5000 0.1467
O1 0.5134 0.3067 0.5921
O2 0.1799 0.3067 0.4079
O3 0.8944 0.6933 0.5921
O4 0.3378 0.8067 0.0921
O5 0.5701 0.1933 0.0921
O6 0.8556 0.8067 0.9079
O7 0.4122 0.6933 0.4079
O8 0.2366 0.1933 0.9079
Co1 0.0000 0.0000 0.0000
Co2 0.7500 0.5000 0.5000
Be1 0.2500 0.5000 0.5000
Be2 0.5000 0.0000 0.0000